Entry 1:
A plane-wave DFT calculation with meta-GGA SCAN was carried out for a PBEsol-optimized structure of CsTl3Pt.

Results
Energy relative to the elements = -45 kJ/mol of formula units

Cell: 5.409 5.409 5.409 Å, 90.00 90.00 90.00°
Space group Pm-3m (No. 221)
One atom of each set of equivalent atoms:
Cs  0.000  0.000  0.000
Tl  0.000  0.500  0.500
Pt  0.500  0.500  0.500

***

Entry 2:
A plane-wave DFT calculation with meta-GGA SCAN was carried out for a PBEsol-optimized structure of CsYPt3.

Results
Energy relative to the elements = 651 kJ/mol of formula units

Cell: 5.079 5.079 5.079 Å, 90.00 90.00 90.00°
Space group Pm-3m (No. 221)
One atom of each set of equivalent atoms:
Cs  0.000  0.000  0.000
Y  0.500  0.500  0.500
Pt  0.000  0.000  0.500

***

Entry 3:
A plane-wave DFT calculation with meta-GGA SCAN was carried out for a PBEsol-optimized structure of CsPuZnSe3.

Results
Formation energy (no corrections) = -7.7 eV/f.u.

Cell: 4.140 15.746 10.832 Å, 90.00 90.00 90.00°
Space group Cmcm (No. 63)
One atom of each set of equivalent atoms:
Cs  0.000  0.243  0.250
Pu  0.000  0.500  0.000
Zn  0.000  0.036  0.750
Se  0.000  0.118  0.560
Se  0.000  0.443  0.750

***

For the records above, the corresponding uncorrected energy values read -65.11, -53.90, -38.23 eV per atom.
For the records above, the corresponding Fermi-level density of states values read 0.71, 0.49, 1.26 states/eV per atom.
For the records above, the corresponding V values read 31.65, 26.21, 29.42 Å³/atom.